--- one ---
First-principles (PBE) data for an optimized crystal structure of NbV2HRu, as listed in Alexandria.

Unit cell a=3.7472 b=3.7472 c=4.4196 alpha=90.00 beta=90.00 gamma=90.00
Space group P4/mmm (No. 123)
Symmetry-distinct sites (fractional):
Nb 0.0000 0.0000 0.0000 x1
V 0.0000 0.5000 0.5000 x2
H 0.0000 0.0000 0.5000 x1
Ru 0.5000 0.5000 0.0000 x1

Values from the calculation:
- V: 62.06 Å³/f.u.

--- two ---
First-principles (PBE) data for an optimized crystal structure of NbV2HRu, as listed in Alexandria.

Unit cell a=4.2518 b=4.2518 c=3.4235 alpha=90.00 beta=90.00 gamma=90.00
Space group P4/mmm (No. 123)
Symmetry-distinct sites (fractional):
Nb 0.0000 0.0000 0.0000 x1
V 0.0000 0.5000 0.5000 x2
H 0.5000 0.5000 0.5000 x1
Ru 0.5000 0.5000 0.0000 x1

Values from the calculation:
- V: 61.89 Å³/f.u.

It is two that is most stable; the runner-up trails by 8 meV per atom.